The following is a PBE calculation of CuTcP2 after structural relaxation, from Alexandria via LeMat-Bulk.

a b c (Å): 3.080 4.494 4.112
angles (deg): 90.00 99.42 90.00
Sites, in units of the cell vectors:
Cu 0.000 0.000 0.000
Tc 0.464 0.500 0.282
P 0.075 0.500 0.732
P 0.579 0.000 0.471

Total moment (μB/f.u.): 0.00
Electronic total energy (Ry per atom): -0.46916
Symmetry: Pm (6)